First-principles (GGA-PBE) data for crystalline LiRuAu2 at its relaxed geometry, as listed in the Alexandria database.

Calculated values
- Distance to the lowest polymorph of the same formula: 198 meV/atom
- Crystal system: cubic
- Calculated volume: 257.87 Å³/cell

Cell: 6.3650 6.3650 6.3650 Å, 90.00 90.00 90.00°
Last column: nearest neighbours and their distance in Å.
Space group Fm-3m (No. 225)
Asymmetric unit:
Li  0.0000  0.0000  0.0000  8 Au 2.76
Ru  0.0000  0.0000  0.5000  8 Au 2.76
Au  0.2500  0.2500  0.2500  4 Li 2.76, 4 Ru 2.76